A plane-wave DFT calculation with PBE was carried out for a relaxed structure of ThTc3P3.

Formation energy (eV per atom): -0.6686
N(E_F) (states/eV/atom): 0.88
Total magnetic moment (μB per formula unit): 0.000
E above lowest polymorph (meV per atom): 0.0

abc: 8.1172 8.1172 4.3625
angles: 90.00 90.00 120.00
Element x y z (fractional)
1 Th 0.3333 0.6667 0.2500
2 Th 0.6667 0.3333 0.7500
3 Tc 0.0579 0.8380 0.2500
4 Tc 0.1620 0.2199 0.2500
5 Tc 0.2199 0.0579 0.7500
6 Tc 0.7801 0.9421 0.2500
7 Tc 0.8380 0.7801 0.7500
8 Tc 0.9421 0.1620 0.7500
9 P 0.0958 0.7089 0.7500
10 P 0.2911 0.3869 0.7500
11 P 0.3869 0.0958 0.2500
12 P 0.6131 0.9042 0.7500
13 P 0.7089 0.6131 0.2500
14 P 0.9042 0.2911 0.2500